Below is a geometry-optimized Gd3PdC structure, with properties calculated at the PBE-GGA level.

```
Gd3PdC
1.0
-3.426 -1.519 3.138
2.846 -3.760 1.287
2.014 2.729 3.520
Gd C Pd
3 1 1
Direct
0.500 0.000 0.000 Gd
0.000 0.500 0.000 Gd
0.000 0.000 0.500 Gd
0.000 0.000 0.000 C
0.500 0.500 0.500 Pd
```

## Properties
Final energy = -11.651 eV/atom
DOS(E_F) = 4.26 states/eV/f.u.
Space group = No. 221
Magnetization = 22.2 μB/cell
Calculated volume = 116.8 Å³/cell
Energy of formation from the pure elements = -30.81 kJ per mole of atoms